(1)
A crystal of MnGaO2 relaxed with PBEsol, computed with SCAN.

extended XYZ file:
```
4
Lattice="2.9798 0.0000 0.0000 1.4899 2.5806 0.0000 1.4899 0.8602 5.8953" Properties=species:S:1:pos:R:3 pbc="T T T"
O 4.4697 2.5806 1.9350
O 1.4899 0.8602 3.9604
Mn 0.0000 0.0000 0.0000
Ga 2.9798 1.7204 2.9477
```

Results
space-group type = R-3m (166)
DFT total energy = -13.46 eV per atom

(2)
A crystal of Sr4Mn2Ga2O11 relaxed with PBEsol, computed with SCAN.

extended XYZ file:
```
19
Lattice="5.4695 0.0161 0.0000 -0.0754 5.4690 0.0000 -2.6971 -2.7426 7.4922" Properties=species:S:1:pos:R:3 pbc="T T T"
O 1.5727 1.5992 5.6114
O 2.7348 0.0081 0.0000
O 4.2698 4.3418 1.8808
O 1.1244 1.1433 1.8808
O 0.0000 0.0000 4.0294
O -1.5727 -1.5992 5.6114
O 2.7348 0.0081 3.7461
O 2.6971 2.7426 0.0000
O -0.0377 2.7345 0.0000
O 2.6971 2.7426 3.4628
O -0.0377 2.7345 3.7461
Sr 1.3655 -1.3429 5.5769
Sr 1.3316 4.0854 1.9152
Sr 4.0626 1.3997 1.9152
Sr -1.3655 1.3429 5.5769
Ga 3.9586 4.0253 0.0000
Ga 1.4356 1.4598 0.0000
Mn 1.3485 1.3713 3.7461
Mn -1.3485 -1.3713 3.7461
```

Results
space-group type = Fmmm (69)
DFT total energy = -14.52 eV per atom

Summary of D(E_F) in states/eV/atom
0.09, 0.05
(order as listed above)